## Hf2N (PBE)

Data for a relaxed Hf2N crystal.

Values from the calculation:
* crystal system: orthorhombic
* uncorrected energy: -10.13 eV/atom
* magnetization: 0.00 μB per atom

Lattice parameters (Å, degrees): 3.318 13.111 4.817 90.00 90.00 90.00
Fractional coordinates of all 12 atoms:
Hf: 0.000 0.045 0.250
Hf: 0.000 0.196 0.750
Hf: 0.000 0.804 0.250
Hf: 0.000 0.955 0.750
Hf: 0.500 0.304 0.250
Hf: 0.500 0.455 0.750
Hf: 0.500 0.545 0.250
Hf: 0.500 0.696 0.750
N: 0.000 0.207 0.250
N: 0.000 0.793 0.750
N: 0.500 0.293 0.750
N: 0.500 0.707 0.250